Below is a relaxed structure of LiMn2Tl2, with properties calculated at the PBE level.

Structure (POSCAR):
```
LiMn2Tl2
1.0
-1.601 1.601 9.066
1.601 -1.601 9.066
1.601 1.601 -9.066
Tl Li Mn
2 1 2
direct
0.383 0.383 0.000
0.617 0.617 0.000
0.000 0.000 0.000
0.250 0.750 0.500
0.750 0.250 0.500
```

Computed properties:
raw total energy	-4.616	eV/atom
formation energy	0.381	eV per atom

***

Below is a relaxed structure of Li2MnTl, with properties calculated at the PBE level.

Structure (POSCAR):
```
Li2MnTl
1.0
-2.625 -0.699 -1.306
2.047 -2.587 -2.730
-0.666 -4.450 3.719
Li Tl Mn
2 1 1
direct
0.000 0.000 0.001
0.500 0.500 0.254
0.500 0.500 0.744
0.000 0.000 0.502
```

Computed properties:
raw total energy	-3.670	eV/atom
formation energy	0.171	eV per atom

***

Below is a relaxed structure of LiMnTl2, with properties calculated at the PBE level.

Structure (POSCAR):
```
LiMnTl2
1.0
-0.696 5.559 0.330
-3.676 4.211 -0.501
-1.492 0.476 4.576
Li Tl Mn
1 2 1
direct
0.504 0.504 0.548
0.757 0.757 0.687
0.992 0.992 0.068
0.247 0.247 0.197
```

Computed properties:
raw total energy	-3.757	eV/atom
ΔE to the lowest computed polymorph	0.31	eV/f.u.
formation energy	0.197	eV per atom

***

Below is a relaxed structure of LiMnTl2, with properties calculated at the PBE level.

Structure (POSCAR):
```
LiMnTl2
1.0
6.133 0.101 0.076
3.320 5.157 -0.076
-4.326 -3.348 2.774
Li Tl Mn
1 2 1
direct
0.476 0.476 0.000
0.020 0.020 0.000
0.755 0.255 0.500
0.249 0.749 0.500
```

Computed properties:
raw total energy	-3.742	eV/atom
ΔE to the lowest computed polymorph	0.36	eV/f.u.
formation energy	0.212	eV per atom

***

Below is a relaxed structure of LiMnTl2, with properties calculated at the PBE level.

Structure (POSCAR):
```
LiMnTl2
1.0
-0.647 -2.794 1.781
0.435 -1.871 -2.777
7.058 -0.650 1.543
Li Mn Tl
1 1 2
direct
0.500 0.500 0.250
0.500 0.500 0.750
0.000 0.000 0.999
0.000 0.000 0.501
```

Computed properties:
raw total energy	-3.815	eV/atom
ΔE to the lowest computed polymorph	0.07	eV/f.u.
formation energy	0.139	eV per atom

***

Below is a relaxed structure of Li2MnTl, with properties calculated at the PBE level.

Structure (POSCAR):
```
Li2MnTl
1.0
-2.371 -2.257 2.470
0.846 -3.333 -2.234
3.325 -0.803 2.458
Mn Tl Li
1 1 2
direct
0.500 0.000 0.500
0.000 0.500 0.500
0.000 0.000 0.000
0.500 0.500 0.000
```

Computed properties:
raw total energy	-3.731	eV/atom
formation energy	0.110	eV per atom

***

Repeat the fifth record exactly.
Below is a relaxed structure of LiMnTl2, with properties calculated at the PBE level.

Structure (POSCAR):
```
LiMnTl2
1.0
-0.647 -2.794 1.781
0.435 -1.871 -2.777
7.058 -0.650 1.543
Li Mn Tl
1 1 2
direct
0.500 0.500 0.250
0.500 0.500 0.750
0.000 0.000 0.999
0.000 0.000 0.501
```

Computed properties:
raw total energy	-3.815	eV/atom
ΔE to the lowest computed polymorph	0.07	eV/f.u.
formation energy	0.139	eV per atom

***

> What is the formula in the second record?

Li2MnTl